Entry 1:
## MnFeClO2 (PBE+U)

Data for a geometry-optimized MnFeClO2 structure.

The space group is P2_1/m (No. 11) and the conventional cell measures 6.2296, 3.9599 and 7.1618 Å, with angles of 90.00, 90.28 and 90.00 degrees. The asymmetric unit holds Mn at (0.1768, 0.2500, 0.4155), Fe at (0.0548, 0.2500, 0.8505), Cl at (0.4046, 0.2500, 0.7235), O at (0.0195, 0.2500, 0.1238) and O at (0.0957, 0.7500, 0.3844).

For the total moment, the calculation gives 0.0 Bohr magnetons per cell. Its energy is -6.344 eV per atom.

***

Entry 2:
## Mn7FeCl3O10 (PBE+U)

Data for a geometry-optimized Mn7FeCl3O10 structure.

The space group is Fm-3m (No. 225) and the conventional cell measures 13.3412, 13.3412 and 13.3412 Å, with angles of 90.00, 90.00 and 90.00 degrees. The asymmetric unit holds Mn at (0.0000, 0.0000, 0.0000), Mn at (0.0000, 0.0000, 0.5000), Mn at (0.0000, 0.1757, 0.1757), Fe at (0.2500, 0.2500, 0.2500), Cl at (0.0000, 0.0000, 0.3028), O at (0.0953, 0.2500, 0.2500) and O at (0.1002, 0.1002, 0.1002).

For the total moment, the calculation gives 216.0 Bohr magnetons per cell. Its energy is -6.678 eV per atom.